# LiPrAu4 PBE-GGA relaxed
# Energy of formation ... -0.4997 eV per atom
# ΔE to the lowest computed polymorph ... 4.76 kJ/mol of atoms
# Total magnetic moment ... 0.0000 μB per atom
# D(E_F) ... 6.4 states/eV/f.u.
# Uncorrected energy ... -22.80 eV/cell
data_LiPrAu4
_chemical_formula_sum 'Li1 Pr1 Au4'
_cell_length_a 5.614
_cell_length_b 5.614
_cell_length_c 5.614
_cell_angle_alpha 60.00
_cell_angle_beta 60.00
_cell_angle_gamma 60.00
_symmetry_space_group_name_H-M 'P 1'
_symmetry_Int_Tables_number 1
loop_
_symmetry_equiv_pos_as_xyz
'x,y,z'
loop_
_atom_site_label
_atom_site_fract_x
_atom_site_fract_y
_atom_site_fract_z
Li1 0.000 0.000 0.000
Au1 0.626 0.626 0.626
Au2 0.626 0.626 0.123
Au3 0.123 0.626 0.626
Au4 0.626 0.123 0.626
Pr1 0.250 0.250 0.250



# PuNpAsN PBE-GGA relaxed
# Uncorrected formation energy ... -0.854 eV per atom
# Total magnetic moment ... 0.5055 μB per atom
# D(E_F) ... 14.1 states/eV/f.u.
# Uncorrected energy ... -43.66 eV/cell
data_PuNpAsN
_chemical_formula_sum 'Pu1 Np1 As1 N1'
_cell_length_a 3.662
_cell_length_b 3.662
_cell_length_c 6.844
_cell_angle_alpha 74.48
_cell_angle_beta 74.48
_cell_angle_gamma 60.00
_symmetry_space_group_name_H-M 'P 1'
_symmetry_Int_Tables_number 1
loop_
_symmetry_equiv_pos_as_xyz
'x,y,z'
loop_
_atom_site_label
_atom_site_fract_x
_atom_site_fract_y
_atom_site_fract_z
Np1 0.517 0.517 0.450
As1 0.752 0.752 0.744
Pu1 0.986 0.986 0.042
N1 0.245 0.245 0.264



Which value of uncorrected energy does entry 1 give? -22.80 eV/cell